#a
Crystalline LaZrSe3 at its relaxed geometry, computed with PBE.

Computed properties:
Symmetry = Pnma

Cell: 7.6985 10.0479 6.7225 Å, 90.00 90.00 90.00°
Last column: nearest neighbours and their distance in Å.
Positions (direct):
La 0.6121 0.7500 0.4461  6 Se 3.00-3.11
La 0.3879 0.2500 0.5539  6 Se 3.00-3.11
La 0.8879 0.2500 0.9461  6 Se 3.00-3.11
La 0.1121 0.7500 0.0539  6 Se 3.00-3.11
Se 0.8144 0.5594 0.1657  2 Zr 2.73
Se 0.6856 0.0594 0.6657  2 Zr 2.73
Se 0.1856 0.0594 0.8343  2 Zr 2.73
Se 0.8144 0.9406 0.1657  2 Zr 2.73
Se 0.3144 0.5594 0.3343  2 Zr 2.73
Se 0.9655 0.7500 0.6350  2 Zr 2.68, 1 La 3.00
Se 0.1856 0.4406 0.8343  2 Zr 2.73
Se 0.6856 0.4406 0.6657  2 Zr 2.73
Se 0.0345 0.2500 0.3650  2 Zr 2.68, 1 La 3.00
Se 0.3144 0.9406 0.3343  2 Zr 2.73
Se 0.5345 0.2500 0.1350  2 Zr 2.68, 1 La 3.00
Se 0.4655 0.7500 0.8650  2 Zr 2.68, 1 La 3.00
Zr 0.5000 0.0000 0.0000  6 Se 2.68-2.73
Zr 0.0000 0.0000 0.5000  6 Se 2.68-2.73
Zr 0.5000 0.5000 0.0000  6 Se 2.68-2.73
Zr 0.0000 0.5000 0.5000  6 Se 2.68-2.73

#b
Crystalline LaZrSe3 at its relaxed geometry, computed with PBE.

Computed properties:
Symmetry = Cmcm

Cell: 6.6731 6.6731 9.9629 Å, 90.00 90.00 145.22°
Last column: nearest neighbours and their distance in Å.
Positions (direct):
Se 0.8588 0.1412 0.4413  2 Zr 2.75, 2 La 3.07
Se 0.4259 0.5741 0.7500  2 Zr 2.66
Se 0.8588 0.1412 0.0587  2 Zr 2.75, 2 La 3.07
Se 0.5741 0.4259 0.2500  2 Zr 2.66
Se 0.1412 0.8588 0.5587  2 Zr 2.75, 2 La 3.07
Se 0.1412 0.8588 0.9413  2 Zr 2.75, 2 La 3.07
La 0.2539 0.7461 0.2500  8 Se 3.04-3.39
La 0.7461 0.2539 0.7500  8 Se 3.04-3.39
Zr 0.5000 0.5000 0.0000  6 Se 2.66-2.75
Zr 0.5000 0.5000 0.5000  6 Se 2.66-2.75

Which structure is the most stable? The one labeled #b.

#a
Crystalline LaSm2 at its relaxed geometry, computed with PBE.

Computed properties:
Symmetry = Fd-3m

Cell: 6.7418 6.7418 6.7418 Å, 60.00 60.00 60.00°
Last column: nearest neighbours and their distance in Å.
Positions (direct):
Sm 0.6250 0.6250 0.6250  6 Sm 3.37
Sm 0.6250 0.1250 0.6250  6 Sm 3.37
Sm 0.1250 0.6250 0.6250  6 Sm 3.37
Sm 0.6250 0.6250 0.1250  6 Sm 3.37
La 0.0000 0.0000 0.0000  12 Sm 3.95, 4 La 4.13
La 0.2500 0.2500 0.2500  12 Sm 3.95, 4 La 4.13

#b
Crystalline LaSm2 at its relaxed geometry, computed with PBE.

Computed properties:
Symmetry = Fd-3m

Cell: 9.0784 9.0784 9.0784 Å, 60.00 60.00 60.00°
Last column: nearest neighbours and their distance in Å.
Positions (direct):
Sm 0.5000 0.0000 0.0000  2 La 2.78
Sm 0.0000 0.0000 0.5000  2 La 2.78
Sm 0.0000 0.0000 0.0000  2 La 2.78
Sm 0.0000 0.5000 0.0000  2 La 2.78
La 0.1250 0.1250 0.1250  4 Sm 2.78
La 0.8750 0.8750 0.8750  4 Sm 2.78

Which structure is the most stable? The one labeled #a.

#a
Crystalline LaSm at its relaxed geometry, computed with PBE.

Computed properties:
Symmetry = P-6m2

Cell: 3.7116 3.7116 6.0015 Å, 90.00 90.00 120.00°
Last column: nearest neighbours and their distance in Å.
Positions (direct):
La 0.6667 0.3333 0.7500  6 Sm 3.69, 6 La 3.71
Sm 0.3333 0.6667 0.2500  6 La 3.69, 6 Sm 3.71

#b
Crystalline LaSm at its relaxed geometry, computed with PBE.

Computed properties:
Symmetry = Fm-3m

Cell: 4.6790 4.6790 4.6790 Å, 60.00 60.00 60.00°
Last column: nearest neighbours and their distance in Å.
Positions (direct):
Sm 0.5000 0.5000 0.5000  6 La 3.31
La 0.0000 0.0000 0.0000  6 Sm 3.31

Which structure is the most stable? The one labeled #a.

#a
Crystalline LaSmY at its relaxed geometry, computed with PBE.

Computed properties:
Symmetry = P-6m2

Cell: 5.7888 5.7888 10.6620 Å, 90.00 90.00 120.00°
Last column: nearest neighbours and their distance in Å.
Positions (direct):
La 0.6667 0.3333 0.6673  2 La 3.55-3.57, 6 Y 3.78-3.79, 6 Sm 3.79
La 0.6667 0.3333 0.0000  2 La 3.55, 6 Sm 3.78, 6 Y 3.79
La 0.6667 0.3333 0.3327  2 La 3.55-3.57, 6 Y 3.78-3.79, 6 Sm 3.79
Sm 0.3333 0.6667 0.8352  4 Y 3.34-3.57, 1 Sm 3.51
Sm 0.3333 0.6667 0.1648  4 Y 3.34-3.57, 1 Sm 3.51
Sm 0.0000 0.0000 0.5000  5 Y 3.34-3.54
Y 0.3333 0.6667 0.5000  5 Sm 3.34-3.57
Y 0.0000 0.0000 0.8321  4 Sm 3.34-3.54, 1 Y 3.58
Y 0.0000 0.0000 0.1679  4 Sm 3.34-3.54, 1 Y 3.58

#b
Crystalline LaSmY at its relaxed geometry, computed with PBE.

Computed properties:
Symmetry = F-43m

Cell: 5.5566 5.5566 5.5566 Å, 60.00 60.00 60.00°
Last column: nearest neighbours and their distance in Å.
Positions (direct):
Sm 0.0000 0.0000 0.0000  4 Y 3.40, 4 La 3.40
La 0.2500 0.2500 0.2500  4 Sm 3.40
Y 0.7500 0.7500 0.7500  4 Sm 3.40

Which structure is the most stable? The one labeled #a.

#a
Crystalline LaSmZn4 at its relaxed geometry, computed with PBE.

Computed properties:
Symmetry = Pmmm

Cell: 3.4704 4.6317 8.0342 Å, 90.00 90.00 90.00°
Last column: nearest neighbours and their distance in Å.
Positions (direct):
Zn 0.5013 0.0000 0.3383  3 Zn 2.60-2.67
Zn 0.5010 0.5000 0.8274  3 Zn 2.67-2.77
Zn 0.4987 0.0000 0.6617  3 Zn 2.60-2.67
Zn 0.4990 0.5000 0.1726  3 Zn 2.67-2.77
Sm 0.0000 0.5000 0.5000  12 Zn 3.15-3.17, 2 Sm 3.47
La 0.0000 0.0000 0.0000  12 Zn 3.21-3.23, 2 La 3.47

#b
Crystalline LaSmZn4 at its relaxed geometry, computed with PBE.

Computed properties:
Symmetry = Imm2

Cell: 5.7880 5.7880 5.7880 Å, 133.20 101.19 96.97°
Last column: nearest neighbours and their distance in Å.
Positions (direct):
Sm 0.9720 0.4720 0.5000  12 Zn 3.10-3.35
Zn 0.9658 0.1641 0.8017  4 Zn 2.64-2.92
Zn 0.3625 0.1641 0.1983  4 Zn 2.64-2.92
Zn 0.5345 0.8327 0.7018  3 Zn 2.64-2.65
Zn 0.1309 0.8327 0.2982  3 Zn 2.64-2.65
La 0.5344 0.5344 0.0000  12 Zn 3.14-3.34

Which structure is the most stable? The one labeled #b.

#a
Crystalline LaTa2 at its relaxed geometry, computed with PBE.

Computed properties:
Symmetry = P-3m1

Cell: 4.9138 4.9138 3.1604 Å, 90.00 90.00 120.00°
Last column: nearest neighbours and their distance in Å.
Positions (direct):
Ta 0.3333 0.6667 0.3736  5 Ta 2.95-3.16, 3 La 3.07
Ta 0.6667 0.3333 0.6264  5 Ta 2.95-3.16, 3 La 3.07
La 0.0000 0.0000 0.0000  6 Ta 3.07, 2 La 3.16

#b
Crystalline LaTa2 at its relaxed geometry, computed with PBE.

Computed properties:
Symmetry = Fd-3m

Cell: 5.8087 5.8087 5.8087 Å, 60.00 60.00 60.00°
Last column: nearest neighbours and their distance in Å.
Positions (direct):
La 0.0000 0.0000 0.0000  12 Ta 3.41, 4 La 3.56
La 0.2500 0.2500 0.2500  12 Ta 3.41, 4 La 3.56
Ta 0.6250 0.1250 0.6250  6 Ta 2.90
Ta 0.6250 0.6250 0.6250  6 Ta 2.90
Ta 0.6250 0.6250 0.1250  6 Ta 2.90
Ta 0.1250 0.6250 0.6250  6 Ta 2.90

Which structure is the most stable? The one labeled #b.